Entry 1:
A plane-wave DFT calculation with PBE-GGA was carried out for a relaxed Sc4CuPbN2 crystal.

Geometry as POSCAR:
```
Sc4CuPbN2
1.0
3.2768 0.0000 0.0000
-1.6384 2.8378 0.0000
0.0000 0.0000 14.0025
Cu N Pb Sc
1 2 1 4
Direct
0.0000 0.0000 0.0000
0.3333 0.6667 0.2409
0.3333 0.6667 0.7591
0.6667 0.3333 0.5000
0.6667 0.3333 0.1455
0.0000 0.0000 0.3194
0.0000 0.0000 0.6806
0.6667 0.3333 0.8545
```

Computed properties:
SG: P-6m2 (187)
Crystal system: hexagonal



Entry 2:
A plane-wave DFT calculation with PBE-GGA was carried out for a relaxed CuPd3N6 crystal.

Geometry as POSCAR:
```
CuPd3N6
1.0
3.3961 -5.5266 0.0000
3.3961 5.5266 0.0000
0.0000 0.0000 3.0587
Cu N Pd
1 6 3
Direct
0.5000 0.5000 0.0000
0.7308 0.0814 0.0000
0.9186 0.2692 0.0000
0.0814 0.7308 0.0000
0.2692 0.9186 0.0000
0.6138 0.3862 0.5000
0.3862 0.6138 0.5000
0.0000 0.0000 0.0000
0.5000 0.0000 0.5000
0.0000 0.5000 0.5000
```

Computed properties:
SG: Cmmm (65)
Crystal system: orthorhombic



| no. | electronic total energy (eV/atom) |
| --- | --- |
| 1 | -7.22 |
| 2 | -6.08 |